1.
KSi2Sb: relaxed, PBE-GGA.

Cell lengths 4.5912, 4.5912, 4.3786 Å; angles 90.00, 90.00, 90.00 degrees
With the nearest neighbours (Å) after each atom.
Fractional coordinates of all 4 atoms:
K 0.0000 0.0000 0.0000  8 Si 3.17, 4 Sb 3.25
Si 0.0000 0.5000 0.5000  4 Sb 3.17, 4 K 3.17, 4 Si 3.25
Si 0.5000 0.0000 0.5000  4 Sb 3.17, 4 K 3.17, 4 Si 3.25
Sb 0.5000 0.5000 0.0000  8 Si 3.17, 4 K 3.25

* density: 3.90 g/cm³
* E: -13.92 eV per formula unit
* symmetry: No. 123

***

2.
Na2In2PdO6: relaxed, PBE-GGA.

Cell lengths 5.5638, 5.5638, 5.8412 Å; angles 98.37, 98.37, 119.43 degrees
With the nearest neighbours (Å) after each atom.
Fractional coordinates of all 11 atoms:
Na 0.1584 0.8416 0.0000  6 O 2.40-2.67
Na 0.8416 0.1584 0.0000  6 O 2.40-2.67
In 0.3359 0.6641 0.5000  6 O 2.20-2.24
In 0.6641 0.3359 0.5000  6 O 2.20-2.24
Pd 0.0000 0.0000 0.5000  6 O 2.04-2.07
O 0.0537 0.3713 0.6981  1 Pd 2.07, 2 In 2.20-2.24
O 0.2467 0.2467 0.3018  1 Pd 2.04, 2 In 2.21
O 0.3713 0.0537 0.6981  1 Pd 2.07, 2 In 2.20-2.24
O 0.6287 0.9463 0.3019  1 Pd 2.07, 2 In 2.20-2.24
O 0.7533 0.7533 0.6982  1 Pd 2.04, 2 In 2.21
O 0.9463 0.6287 0.3019  1 Pd 2.07, 2 In 2.20-2.24

* density: 5.26 g/cm³
* E: -57.38 eV per formula unit
* symmetry: No. 12

***

3.
Na4Er3SnS8: relaxed, PBE-GGA.

Cell lengths 8.0884, 8.0884, 8.0884 Å; angles 58.57, 58.57, 58.57 degrees
With the nearest neighbours (Å) after each atom.
Fractional coordinates of all 16 atoms:
Na 0.0000 0.0000 0.0000  6 S 2.93
Na 0.0000 0.5000 0.5000  6 S 2.93
Na 0.5000 0.0000 0.5000  6 S 2.93
Na 0.5000 0.5000 0.0000  6 S 2.93
Er 0.0000 0.0000 0.5000  6 S 2.73
Er 0.0000 0.5000 0.0000  6 S 2.73
Er 0.5000 0.0000 0.0000  6 S 2.73
Sn 0.5000 0.5000 0.5000  6 S 2.74
S 0.2406 0.7419 0.7419  2 Er 2.73, 1 Sn 2.74, 3 Na 2.93
S 0.2417 0.2417 0.2417  3 Er 2.73, 3 Na 2.93
S 0.2581 0.2581 0.7594  2 Er 2.73, 1 Sn 2.74, 3 Na 2.93
S 0.2581 0.7594 0.2581  2 Er 2.73, 1 Sn 2.74, 3 Na 2.93
S 0.7419 0.2406 0.7419  2 Er 2.73, 1 Sn 2.74, 3 Na 2.93
S 0.7419 0.7419 0.2406  2 Er 2.73, 1 Sn 2.74, 3 Na 2.93
S 0.7583 0.7583 0.7583  3 Er 2.73, 3 Na 2.93
S 0.7594 0.2581 0.2581  2 Er 2.73, 1 Sn 2.74, 3 Na 2.93

* density: 4.45 g/cm³
* E: -80.98 eV per formula unit
* symmetry: No. 166